Record 1
Below is a crystal of KTa2PC relaxed with PBEsol, with properties calculated at the SCAN level.

```
5
Lattice="3.940 0.000 0.000 0.000 4.790 0.000 0.000 0.000 4.790" Properties=species:S:1:pos:R:3 pbc="T T T"
P 0.000 0.000 0.000
K 1.970 2.395 2.395
C 1.970 0.000 0.000
Ta 0.000 0.000 2.395
Ta 0.000 2.395 0.000
```

Computed properties:
**ΔE_f**: 1.857 eV per atom
**Calculated volume**: 90 Å³ per cell
**Total magnetic moment**: 0.00 Bohr magnetons per cell
**Mass density**: 8156 kg/m³

***

Record 2
Below is a crystal of KPtC3 relaxed with PBEsol, with properties calculated at the SCAN level.

```
5
Lattice="4.126 0.000 0.000 0.000 4.126 0.000 0.000 0.000 4.126" Properties=species:S:1:pos:R:3 pbc="T T T"
K 2.063 2.063 2.063
C 0.000 2.063 0.000
C 0.000 0.000 2.063
C 2.063 0.000 0.000
Pt 0.000 0.000 0.000
```

Computed properties:
**ΔE_f**: 2.064 eV per atom
**Calculated volume**: 70 Å³ per cell
**Total magnetic moment**: 5.00 Bohr magnetons per cell
**Mass density**: 6388 kg/m³